(1)
{"formula": "KBaCl2", "functional": "GGA-PBE", "state": "relaxed", "cell": [[4.437, 0.000, 0.000], [0.000, 8.129, 0.000], [0.000, 0.000, 4.387]], "species": ["Cl", "Cl", "Ba", "K"], "fractional_positions": [[0.500, 0.500, 0.000], [0.000, 0.000, 0.000], [0.000, 0.500, 0.500], [0.500, 0.000, 0.500]], "magmom_total_mub_per_cell": 0.00, "spacegroup": "Pmmm, No. 47", "relative_energy_ev_per_atom": 0.1736, "dos_ef_per_ev_fu": 1.773}

(2)
{"formula": "KBaCl2", "functional": "GGA-PBE", "state": "relaxed", "cell": [[-2.926, -2.963, -1.343], [1.347, -3.672, -1.962], [-0.088, -5.971, 6.235]], "species": ["K", "Cl", "Cl", "Ba"], "fractional_positions": [[0.669, 0.669, 0.994], [0.255, 0.255, 0.235], [0.078, 0.078, 0.767], [0.499, 0.499, 0.504]], "magmom_total_mub_per_cell": 0.92, "spacegroup": "R3m, No. 160", "relative_energy_ev_per_atom": 0.0000, "dos_ef_per_ev_fu": 0.742}

(3)
{"formula": "KBaCl2", "functional": "GGA-PBE", "state": "relaxed", "cell": [[5.759, 0.000, 0.000], [2.880, 4.988, 0.000], [2.880, 1.663, 4.702]], "species": ["Ba", "Cl", "Cl", "K"], "fractional_positions": [[0.500, 0.500, 0.500], [0.000, 0.000, 0.000], [0.250, 0.250, 0.250], [0.750, 0.750, 0.750]], "magmom_total_mub_per_cell": 0.78, "spacegroup": "F-43m, No. 216", "relative_energy_ev_per_atom": 0.6948, "dos_ef_per_ev_fu": 2.658}

(4)
{"formula": "K2BaCl4", "functional": "GGA-PBE", "state": "relaxed", "cell": [[6.002, 0.000, 0.000], [0.000, 6.002, 0.000], [-3.001, -3.001, 8.257]], "species": ["Ba", "Cl", "Cl", "Cl", "Cl", "K", "K"], "fractional_positions": [[0.000, 0.000, 0.000], [0.000, 0.500, 0.000], [0.500, 0.000, 0.000], [0.818, 0.818, 0.636], [0.182, 0.182, 0.364], [0.640, 0.640, 0.280], [0.360, 0.360, 0.720]], "magmom_total_mub_per_cell": 0.16, "spacegroup": "I4/mmm, No. 139", "relative_energy_ev_per_atom": 0.1163, "dos_ef_per_ev_fu": 0.000}